[1]
Here is a geometry-optimized SrNb2GeSb structure from Alexandria. Energies are from PBE.

Values from the calculation:
magnetic moment	1.1	Bohr magnetons per cell
electronic total energy	-5.4866	eV/atom
formation energy without anion corrections	60.4	kJ per mole of atoms
density of states at the Fermi level	5.87	states/eV per cell

The structure in extended XYZ format:
```
5
Lattice="4.928 0.000 0.000 0.000 4.928 0.000 0.000 0.000 5.613" Properties=species:S:1:pos:R:3 pbc="T T T"
Sr 0.000 0.000 0.000
Nb 0.000 2.464 2.807
Nb 2.464 0.000 2.807
Ge 2.464 2.464 2.807
Sb 2.464 2.464 0.000
```



[2]
Here is a geometry-optimized Nb2TlGeSb structure from Alexandria. Energies are from PBE.

Values from the calculation:
magnetic moment	4.2	Bohr magnetons per cell
electronic total energy	-4.6138	eV/atom
formation energy without anion corrections	157.8	kJ per mole of atoms
density of states at the Fermi level	6.63	states/eV per cell

The structure in extended XYZ format:
```
5
Lattice="5.356 0.000 0.000 0.000 5.356 0.000 0.000 0.000 5.002" Properties=species:S:1:pos:R:3 pbc="T T T"
Nb 0.000 2.678 0.000
Nb 2.678 0.000 0.000
Tl 0.000 0.000 0.000
Ge 0.000 0.000 2.501
Sb 2.678 2.678 2.501
```



[3]
Here is a geometry-optimized YNb2GeSb structure from Alexandria. Energies are from PBE.

Values from the calculation:
magnetic moment	0.0	Bohr magnetons per cell
electronic total energy	-6.5156	eV/atom
formation energy without anion corrections	53.4	kJ per mole of atoms
density of states at the Fermi level	5.33	states/eV per cell

The structure in extended XYZ format:
```
5
Lattice="4.847 0.000 0.000 0.000 4.847 0.000 0.000 0.000 5.407" Properties=species:S:1:pos:R:3 pbc="T T T"
Y 0.000 0.000 0.000
Nb 0.000 2.424 2.703
Nb 2.424 0.000 2.703
Ge 2.424 2.424 2.703
Sb 2.424 2.424 0.000
```



[4]
Here is a geometry-optimized ScNb2Ge2 structure from Alexandria. Energies are from PBE.

Values from the calculation:
magnetic moment	0.0	Bohr magnetons per cell
electronic total energy	-7.3170	eV/atom
formation energy from the elements	-0.176	eV per atom
density of states at the Fermi level	7.50	states/eV per cell

The structure in extended XYZ format:
```
10
Lattice="7.997 0.000 0.000 0.000 7.997 0.000 0.000 0.000 2.889" Properties=species:S:1:pos:R:3 pbc="T T T"
Sc 0.000 0.000 0.000
Sc 3.999 3.999 0.000
Nb 0.957 3.041 0.000
Nb 3.041 7.040 0.000
Nb 4.956 0.957 0.000
Nb 7.040 4.956 0.000
Ge 1.410 5.409 1.444
Ge 2.588 1.410 1.444
Ge 5.409 6.587 1.444
Ge 6.587 2.588 1.444
```



[5]
Here is a geometry-optimized ScNbGe2 structure from Alexandria. Energies are from PBE.

Values from the calculation:
magnetic moment	0.0	Bohr magnetons per cell
electronic total energy	-6.6830	eV/atom
formation energy from the elements	-0.274	eV per atom
density of states at the Fermi level	5.43	states/eV per cell

The structure in extended XYZ format:
```
4
Lattice="0.000 3.292 3.292 3.292 0.000 3.292 3.292 3.292 0.000" Properties=species:S:1:pos:R:3 pbc="T T T"
Sc 0.000 0.000 0.000
Nb 3.292 3.292 3.292
Ge 1.646 1.646 1.646
Ge 4.938 4.938 4.938
```



[6]
Here is a geometry-optimized ScNbGe2 structure from Alexandria. Energies are from PBE.

Values from the calculation:
magnetic moment	0.0	Bohr magnetons per cell
electronic total energy	-6.9703	eV/atom
formation energy from the elements	-0.561	eV per atom
density of states at the Fermi level	7.23	states/eV per cell

The structure in extended XYZ format:
```
16
Lattice="5.350 0.000 0.000 0.000 5.359 0.000 -2.672 0.000 9.940" Properties=species:S:1:pos:R:3 pbc="T T T"
Sc 0.689 0.690 1.398
Sc -0.647 4.669 6.368
Sc 3.325 0.690 3.572
Sc 1.989 4.669 8.542
Nb -0.683 1.986 8.579
Nb 0.653 3.373 3.609
Nb 2.025 1.986 6.331
Nb 3.361 3.373 1.361
Ge -0.659 1.994 5.906
Ge 0.676 3.365 0.936
Ge 0.657 0.700 4.096
Ge -0.679 4.659 9.066
Ge 3.357 0.700 0.874
Ge 2.021 4.659 5.844
Ge 2.001 1.994 9.004
Ge 3.337 3.365 4.034
```



[7]
Here is a geometry-optimized ScNbGe2 structure from Alexandria. Energies are from PBE.

Values from the calculation:
magnetic moment	0.0	Bohr magnetons per cell
electronic total energy	-6.8773	eV/atom
formation energy from the elements	-0.468	eV per atom
density of states at the Fermi level	1.72	states/eV per cell

The structure in extended XYZ format:
```
4
Lattice="1.857 1.072 6.472 -1.857 1.072 6.472 0.000 -2.144 6.472" Properties=species:S:1:pos:R:3 pbc="T T T"
Sc 0.000 0.000 0.000
Nb 0.000 0.000 9.708
Ge 0.000 0.000 4.789
Ge 0.000 0.000 14.627
```



[8]
Here is a geometry-optimized ScNb2Ge2 structure from Alexandria. Energies are from PBE.

Values from the calculation:
magnetic moment	0.0	Bohr magnetons per cell
electronic total energy	-7.2342	eV/atom
formation energy from the elements	-0.093	eV per atom
density of states at the Fermi level	4.19	states/eV per cell

The structure in extended XYZ format:
```
5
Lattice="-2.476 2.476 4.102 2.476 -2.476 4.102 2.476 2.476 -4.102" Properties=species:S:1:pos:R:3 pbc="T T T"
Sc 0.000 0.000 0.000
Nb 0.000 0.000 2.835
Nb 0.000 0.000 5.369
Ge 2.476 0.000 2.051
Ge 0.000 2.476 2.051
```



[9]
Here is a geometry-optimized ScNbGe2 structure from Alexandria. Energies are from PBE.

Values from the calculation:
magnetic moment	0.0	Bohr magnetons per cell
electronic total energy	-6.6820	eV/atom
formation energy from the elements	-0.273	eV per atom
density of states at the Fermi level	0.59	states/eV per cell

The structure in extended XYZ format:
```
8
Lattice="-3.601 3.601 2.948 3.601 -3.601 2.948 3.601 3.601 -2.948" Properties=species:S:1:pos:R:3 pbc="T T T"
Sc 0.000 0.000 0.000
Sc 0.000 3.601 1.474
Nb 3.601 0.000 1.474
Nb 0.000 0.000 2.948
Ge 1.801 -1.736 2.211
Ge 1.865 1.801 0.737
Ge 1.801 5.337 -0.737
Ge 1.736 1.801 3.685
```



[10]
Here is a geometry-optimized ScNb3Ge structure from Alexandria. Energies are from PBE.

Values from the calculation:
magnetic moment	0.0	Bohr magnetons per cell
electronic total energy	-7.6005	eV/atom
formation energy from the elements	0.631	eV per atom
density of states at the Fermi level	7.46	states/eV per cell

The structure in extended XYZ format:
```
5
Lattice="4.819 0.000 0.000 0.000 4.819 0.000 0.000 0.000 4.819" Properties=species:S:1:pos:R:3 pbc="T T T"
Sc 0.000 0.000 0.000
Nb 0.000 2.410 2.410
Nb 2.410 0.000 2.410
Nb 2.410 2.410 0.000
Ge 2.410 2.410 2.410
```



[11]
Here is a geometry-optimized Sc2Nb3Ge3 structure from Alexandria. Energies are from PBE.

Values from the calculation:
magnetic moment	0.0	Bohr magnetons per cell
electronic total energy	-7.7418	eV/atom
formation energy from the elements	-0.651	eV per atom
density of states at the Fermi level	8.11	states/eV per cell

The structure in extended XYZ format:
```
16
Lattice="5.437 0.000 0.000 0.000 6.855 3.909 0.000 -6.855 3.909" Properties=species:S:1:pos:R:3 pbc="T T T"
Sc 0.000 0.000 0.000
Sc 0.000 -1.732 2.898
Sc 0.000 1.732 2.898
Sc 2.719 0.000 3.865
Nb 1.359 -2.288 5.820
Nb 1.359 2.288 5.820
Nb 2.719 -5.030 4.769
Nb 2.719 5.030 4.769
Nb 4.078 -2.288 5.820
Nb 4.078 2.288 5.820
Ge 0.000 -4.178 4.289
Ge 0.000 0.000 4.983
Ge 0.000 4.178 4.289
Ge 2.719 -2.651 3.414
Ge 2.719 2.651 3.414
Ge 2.719 0.000 6.704
```



[12]
Here is a geometry-optimized ScNb2Ge2 structure from Alexandria. Energies are from PBE.

Values from the calculation:
magnetic moment	0.0	Bohr magnetons per cell
electronic total energy	-7.6222	eV/atom
formation energy from the elements	-0.481	eV per atom
density of states at the Fermi level	2.35	states/eV per cell

The structure in extended XYZ format:
```
5
Lattice="-1.988 1.988 5.987 1.988 -1.988 5.987 1.988 1.988 -5.987" Properties=species:S:1:pos:R:3 pbc="T T T"
Sc 0.000 0.000 0.000
Nb 1.988 0.000 2.993
Nb 0.000 1.988 2.993
Ge 0.000 0.000 4.787
Ge 0.000 0.000 7.186
```



[13]
Here is a geometry-optimized Sc2NbGe4 structure from Alexandria. Energies are from PBE.

Values from the calculation:
magnetic moment	0.0	Bohr magnetons per cell
electronic total energy	-5.9682	eV/atom
formation energy from the elements	-0.082	eV per atom
density of states at the Fermi level	3.87	states/eV per cell

The structure in extended XYZ format:
```
7
Lattice="-2.461 2.461 6.765 2.461 -2.461 6.765 2.461 2.461 -6.765" Properties=species:S:1:pos:R:3 pbc="T T T"
Sc 0.000 0.000 1.497
Sc 0.000 0.000 12.032
Nb 0.000 0.000 6.765
Ge 2.461 0.000 0.000
Ge 0.000 0.000 4.176
Ge 0.000 2.461 0.000
Ge 0.000 0.000 9.354
```



[14]
Here is a geometry-optimized Sc2NbGe2 structure from Alexandria. Energies are from PBE.

Values from the calculation:
magnetic moment	0.0	Bohr magnetons per cell
electronic total energy	-7.0650	eV/atom
formation energy from the elements	-0.672	eV per atom
density of states at the Fermi level	6.55	states/eV per cell

The structure in extended XYZ format:
```
10
Lattice="7.049 0.000 0.000 0.000 7.049 0.000 0.000 0.000 3.781" Properties=species:S:1:pos:R:3 pbc="T T T"
Sc 1.217 2.308 0.000
Sc 2.308 5.832 0.000
Sc 4.741 1.217 0.000
Sc 5.832 4.741 0.000
Nb 0.000 0.000 1.890
Nb 3.524 3.524 1.890
Ge 0.938 4.462 1.890
Ge 2.586 0.938 1.890
Ge 4.462 6.111 1.890
Ge 6.111 2.586 1.890
```



[15]
Here is a geometry-optimized ScNb3Ge structure from Alexandria. Energies are from PBE.

Values from the calculation:
magnetic moment	0.0	Bohr magnetons per cell
electronic total energy	-6.6826	eV/atom
formation energy from the elements	1.549	eV per atom
density of states at the Fermi level	3.45	states/eV per cell

The structure in extended XYZ format:
```
5
Lattice="4.732 0.000 0.000 0.000 4.732 0.000 0.000 0.000 4.732" Properties=species:S:1:pos:R:3 pbc="T T T"
Sc 0.000 0.000 0.000
Nb 0.000 0.000 2.366
Nb 0.000 2.366 0.000
Nb 2.366 0.000 0.000
Ge 2.366 2.366 2.366
```



[16]
Here is a geometry-optimized ScNb2Ge2 structure from Alexandria. Energies are from PBE.

Values from the calculation:
magnetic moment	0.0	Bohr magnetons per cell
electronic total energy	-7.7155	eV/atom
formation energy from the elements	-0.574	eV per atom
density of states at the Fermi level	5.67	states/eV per cell

The structure in extended XYZ format:
```
10
Lattice="7.057 0.000 0.000 0.000 7.057 0.000 0.000 0.000 3.532" Properties=species:S:1:pos:R:3 pbc="T T T"
Sc 0.000 0.000 0.000
Sc 3.529 3.529 0.000
Nb 1.166 2.362 1.766
Nb 2.362 5.891 1.766
Nb 4.695 1.166 1.766
Nb 5.891 4.695 1.766
Ge 0.931 4.459 0.000
Ge 2.598 0.931 0.000
Ge 4.459 6.126 0.000
Ge 6.126 2.598 0.000
```



[17]
Here is a geometry-optimized ScTaNb2Ge structure from Alexandria. Energies are from PBE.

Values from the calculation:
magnetic moment	0.0	Bohr magnetons per cell
electronic total energy	-7.0693	eV/atom
formation energy from the elements	1.519	eV per atom
density of states at the Fermi level	3.76	states/eV per cell

The structure in extended XYZ format:
```
5
Lattice="4.689 0.000 0.000 0.000 4.689 0.000 0.000 0.000 4.799" Properties=species:S:1:pos:R:3 pbc="T T T"
Sc 0.000 0.000 0.000
Ta 2.345 2.345 2.399
Nb 0.000 2.345 0.000
Nb 2.345 0.000 0.000
Ge 0.000 0.000 2.399
```



[18]
Here is a geometry-optimized ScNbGe2Te structure from Alexandria. Energies are from PBE.

Values from the calculation:
magnetic moment	0.8	Bohr magnetons per cell
electronic total energy	-4.8910	eV/atom
formation energy without anion corrections	83.4	kJ per mole of atoms
density of states at the Fermi level	4.66	states/eV per cell

The structure in extended XYZ format:
```
5
Lattice="5.096 0.000 0.000 0.000 5.096 0.000 0.000 0.000 4.929" Properties=species:S:1:pos:R:3 pbc="T T T"
Sc 0.000 0.000 0.000
Nb 0.000 0.000 2.465
Ge 0.000 2.548 0.000
Ge 2.548 0.000 0.000
Te 2.548 2.548 2.465
```



[19]
Here is a geometry-optimized Sc2TiNbGe structure from Alexandria. Energies are from PBE.

Values from the calculation:
magnetic moment	0.0	Bohr magnetons per cell
electronic total energy	-6.3107	eV/atom
formation energy from the elements	0.738	eV per atom
density of states at the Fermi level	6.93	states/eV per cell

The structure in extended XYZ format:
```
5
Lattice="5.094 0.000 0.000 0.000 5.094 0.000 0.000 0.000 4.703" Properties=species:S:1:pos:R:3 pbc="T T T"
Sc 0.000 2.547 0.000
Sc 2.547 0.000 0.000
Ti 0.000 0.000 2.351
Nb 0.000 0.000 0.000
Ge 2.547 2.547 2.351
```



[20]
Here is a geometry-optimized NbGeSe2 structure from Alexandria. Energies are from PBE.

Values from the calculation:
magnetic moment	2.8	Bohr magnetons per cell
electronic total energy	-5.3224	eV/atom
formation energy without anion corrections	8.8	kJ per mole of atoms
density of states at the Fermi level	5.87	states/eV per cell

The structure in extended XYZ format:
```
8
Lattice="-3.186 3.186 5.461 3.186 -3.186 5.461 3.186 3.186 -5.461" Properties=species:S:1:pos:R:3 pbc="T T T"
Nb 0.000 0.000 0.000
Nb 0.000 3.186 2.731
Ge 3.186 0.000 2.731
Ge 0.000 0.000 5.461
Se 4.779 1.423 -1.365
Se 1.423 1.593 1.365
Se -1.593 1.762 4.096
Se 1.762 1.593 6.826
```